Density functional theory data (PBE-GGA) for an optimized crystal structure of Tm3Ga9Tc2.

Values from the calculation:
The value obtained for the mass density is 8.839 g/cm3. For the density of states at the Fermi level, the calculation gives 0.600 states/eV per atom. The total energy comes out at -0.3570 Ry per atom.

Cell: 4.227 9.426 12.547 Å, 90.00 90.00 90.00°
Space group Immm (No. 71)
Inequivalent atoms, fractional coordinates:
Tm: 0.000 0.000 0.000 x2
Tm: 0.000 0.000 0.301 x4
Ga: 0.000 0.284 0.134 x8
Ga: 0.000 0.365 0.348 x8
Ga: 0.000 0.500 0.000 x2
Tc: 0.000 0.173 0.500 x4

***

Density functional theory data (PBE-GGA) for an optimized crystal structure of TmGa2Tc.

Values from the calculation:
The value obtained for the mass density is 9.508 g/cm3. The value obtained for the relative energy among the computed polymorphs is 167.9 meV per atom. For the density of states at the Fermi level, the calculation gives 0.849 states/eV per atom. The total energy comes out at -0.4056 Ry per atom.

Cell: 3.361 3.361 6.284 Å, 90.00 90.00 90.00°
Space group P4/mmm (No. 123)
Inequivalent atoms, fractional coordinates:
Tm: 0.000 0.000 0.000 x1
Ga: 0.500 0.500 0.296 x2
Tc: 0.000 0.000 0.500 x1

***

Density functional theory data (PBE-GGA) for an optimized crystal structure of TmGa4Tc.

Values from the calculation:
The value obtained for the mass density is 8.897 g/cm3. The value obtained for the relative energy among the computed polymorphs is 143.5 meV per atom. For the density of states at the Fermi level, the calculation gives 0.857 states/eV per atom. The total energy comes out at -0.3368 Ry per atom.

Cell: 7.414 7.414 7.414 Å, 90.00 90.00 90.00°
Space group F-43m (No. 216)
Inequivalent atoms, fractional coordinates:
Tm: 0.000 0.000 0.000 x4
Ga: 0.125 0.125 0.375 x16
Tc: 0.250 0.250 0.750 x4

***

Density functional theory data (PBE-GGA) for an optimized crystal structure of Tm6GaTc2.

Values from the calculation:
The value obtained for the mass density is 9.607 g/cm3. For the density of states at the Fermi level, the calculation gives 0.959 states/eV per atom. The total energy comes out at -0.4304 Ry per atom.

Cell: 9.262 9.338 10.226 Å, 90.00 90.00 90.00°
Space group Immm (No. 71)
Inequivalent atoms, fractional coordinates:
Tm: 0.000 0.187 0.166 x8
Tm: 0.183 0.225 0.500 x8
Tm: 0.198 0.500 0.251 x8
Ga: 0.000 0.500 0.000 x2
Ga: 0.000 0.500 0.500 x2
Tc: 0.000 0.000 0.384 x4
Tc: 0.180 0.000 0.000 x4

***

Density functional theory data (PBE-GGA) for an optimized crystal structure of Tm8Ga2Tc.

Values from the calculation:
The value obtained for the mass density is 9.464 g/cm3. The value obtained for the relative energy among the computed polymorphs is 0.0 meV per atom. For the density of states at the Fermi level, the calculation gives 0.839 states/eV per atom. The total energy comes out at -0.3671 Ry per atom.

Cell: 17.235 5.086 6.813 Å, 90.00 110.98 90.00°
Space group C2/m (No. 12)
Inequivalent atoms, fractional coordinates:
Tm: 0.020 0.000 0.288 x4
Tm: 0.092 0.500 0.934 x4
Tm: 0.158 0.500 0.455 x4
Tm: 0.197 0.000 0.794 x4
Ga: 0.179 0.000 0.198 x4
Tc: 0.000 0.500 0.500 x2

***

Density functional theory data (PBE-GGA) for an optimized crystal structure of Tm6GaTc.

Values from the calculation:
The value obtained for the mass density is 8.728 g/cm3. For the density of states at the Fermi level, the calculation gives 1.226 states/eV per atom. The total energy comes out at -0.3683 Ry per atom.

Cell: 6.660 11.225 6.581 Å, 90.00 113.97 90.00°
Space group C2/m (No. 12)
Inequivalent atoms, fractional coordinates:
Tm: 0.241 0.190 0.245 x8
Tm: 0.242 0.000 0.760 x4
Ga: 0.000 0.500 0.500 x2
Tc: 0.000 0.000 0.000 x2